Below is a relaxed MnSi2Br crystal, with properties calculated at the GGA-PBE level.

For the total magnetization, the calculation gives 4.2 μB/cell. The energy relative to the elements, uncorrected is 540 meV per atom. The calculation puts the calculated volume at 81.6 Å³ per cell. Its crystal system is tetragonal. The calculation puts the polymorph energy (0 for the lowest one) at 1.99 eV per formula unit.

abc: 6.8249 6.8249 6.8249
angles: 149.52 149.52 43.64
With the nearest neighbours (Å) after each atom.
Sites, in units of the cell vectors:
Br (0.2500, 0.7500, 0.5000)  4 Mn 2.54
Si (0.5000, 0.5000, 0.0000)  4 Si 2.54
Si (0.0000, 0.0000, 0.0000)  4 Si 2.54
Mn (0.7500, 0.2500, 0.5000)  4 Br 2.54